Entry from Alexandria: a relaxed structure of HRu3W (PBE).

E   -8.58 eV/atom
Space group   C2/m
Total magnetization   0.000 μB/atom
Energy above the lowest structure with this stoichiometry   0.335 eV per atom

Cell: 15.2606 6.7064 6.7064 Å, 141.73 154.63 25.37°
Atoms (fractional coordinates):
Ru 0.1995 0.8517 0.1483
Ru 0.8005 0.1483 0.8517
Ru 0.8693 0.4408 0.5592
Ru 0.1307 0.5592 0.4408
Ru 0.4604 0.7322 0.2678
Ru 0.5396 0.2678 0.7322
W 0.7351 0.8413 0.1587
W 0.2649 0.1587 0.8413
H 0.1548 0.6720 0.3280
H 0.8452 0.3280 0.6720